First-principles (GGA-PBEsol) data for a relaxed structure of Mn4CrRe, as listed in Alexandria.

Lattice parameters (Å, degrees): 4.568 4.568 4.568 60.00 60.00 60.00
Atoms (fractional coordinates):
Cr: 0.000 0.000 0.000
Mn: 0.374 0.374 0.374
Mn: 0.374 0.374 0.878
Mn: 0.878 0.374 0.374
Mn: 0.374 0.878 0.374
Re: 0.750 0.750 0.750

Properties
Crystal system: cubic

---

First-principles (GGA-PBEsol) data for a relaxed structure of MnPPd3, as listed in Alexandria.

Lattice parameters (Å, degrees): 4.404 4.404 4.404 90.00 90.00 90.00
Atoms (fractional coordinates):
P: 0.000 0.000 0.000
Mn: 0.500 0.500 0.500
Pd: 0.000 0.500 0.000
Pd: 0.000 0.000 0.500
Pd: 0.500 0.000 0.000

Properties
Polymorph energy (0 for the lowest one), meV per atom: 0.0
Crystal system: cubic

---

First-principles (GGA-PBEsol) data for a relaxed structure of TlNiTe2, as listed in Alexandria.

Lattice parameters (Å, degrees): 3.797 4.642 5.290 90.00 90.00 90.00
Atoms (fractional coordinates):
Ni: 0.000 0.500 0.500
Te: 0.000 0.000 0.000
Te: 0.500 0.000 0.500
Tl: 0.500 0.500 0.000

Properties
Formation energy from raw total energies, eV per atom: 0.452
Crystal system: orthorhombic

---

First-principles (GGA-PBEsol) data for a relaxed structure of LiY2Pd2, as listed in Alexandria.

Lattice parameters (Å, degrees): 5.318 5.521 5.318 61.21 90.00 118.79
Atoms (fractional coordinates):
Y: 0.750 0.500 0.750
Y: 0.250 0.500 0.250
Pd: 0.660 0.320 0.340
Pd: 0.340 0.680 0.660
Li: 0.000 0.000 0.000

Properties
Polymorph energy (0 for the lowest one), meV per atom: 227.4
Crystal system: tetragonal

---

Number 1: VASP energy -62.648 eV/cell, total moment 0.00 μB per formula unit. Number 2: VASP energy -33.299 eV/cell, total moment 4.69 μB per formula unit. Number 3: VASP energy -14.033 eV/cell, total moment 0.00 μB per formula unit. Number 4: VASP energy -29.751 eV/cell, total moment 0.00 μB per formula unit.